GGA+U Li2FeO2F, optimized geometry; DFT total energy = -5.440 eV per atom; calculated volume = 55 Å³/f.u.; polymorph energy (0 for the lowest one) = 241.4 meV/atom; space-group type = C2/c (15); size of the total moment = 11.92 μB/cell
1.0
2.5686 -4.4599 0.0000
2.5686 4.4599 0.0000
-1.6456 0.0000 9.6481
Li Fe O F
8 4 8 4
Direct
0.0000 0.5000 0.5000
0.0923 0.9077 0.7500
0.2793 0.7207 0.2500
0.4026 0.5974 0.7500
0.5000 0.0000 0.0000
0.5974 0.4026 0.2500
0.7207 0.2793 0.7500
0.9077 0.0923 0.2500
0.1800 0.3641 0.9969
0.3641 0.1800 0.4969
0.6359 0.8200 0.5031
0.8200 0.6359 0.0031
0.0916 0.6176 0.8801
0.3211 0.4479 0.3849
0.3824 0.9084 0.6199
0.4479 0.3211 0.8849
0.5521 0.6789 0.1151
0.6176 0.0916 0.3801
0.6789 0.5521 0.6151
0.9084 0.3824 0.1199
0.0291 0.1989 0.6199
0.1989 0.0291 0.1199
0.8011 0.9709 0.8801
0.9709 0.8011 0.3801